Record 1
A plane-wave DFT calculation with PBE was carried out for an optimized crystal structure of Ac2CoSn4Pt3.

CIF file:
```
data_Ac2CoSn4Pt3
_chemical_formula_sum 'Ac2 Co1 Sn4 Pt3'
_cell_length_a 4.6315
_cell_length_b 4.6315
_cell_length_c 10.9192
_cell_angle_alpha 90.00
_cell_angle_beta 90.00
_cell_angle_gamma 90.00
_symmetry_space_group_name_H-M 'P -4 m 2'
_symmetry_Int_Tables_number 115
_symmetry_space_group_name_Hall 'P -4 -2'
loop_
_atom_site_label
_atom_site_fract_x
_atom_site_fract_y
_atom_site_fract_z
Ac1 0.0000 0.5000 0.2407
Co1 0.5000 0.5000 0.0000
Sn1 0.0000 0.0000 0.5000
Sn2 0.0000 0.5000 0.8789
Sn3 0.5000 0.5000 0.5000
Pt1 0.0000 0.0000 0.0000
Pt2 0.0000 0.5000 0.6334
```

DOS at the Fermi energy	0.555	states/eV/atom
energy relative to the elements	-0.77	eV per atom

Record 2
A plane-wave DFT calculation with PBE was carried out for an optimized crystal structure of BeIr3Br.

CIF file:
```
data_BeIr3Br
_chemical_formula_sum 'Be1 Ir3 Br1'
_cell_length_a 4.2601
_cell_length_b 4.2601
_cell_length_c 4.2601
_cell_angle_alpha 90.00
_cell_angle_beta 90.00
_cell_angle_gamma 90.00
_symmetry_space_group_name_H-M 'P m -3 m'
_symmetry_Int_Tables_number 221
_symmetry_space_group_name_Hall '-P 4 2 3'
loop_
_atom_site_label
_atom_site_fract_x
_atom_site_fract_y
_atom_site_fract_z
Be1 0.0000 0.0000 0.0000
Ir1 0.0000 0.0000 0.5000
Br1 0.5000 0.5000 0.5000
```

DOS at the Fermi energy	1.607	states/eV/atom
E above lowest polymorph	0.0000	eV per atom
E_form (uncorrected)	1079	meV per atom

Record 3
A plane-wave DFT calculation with PBE was carried out for an optimized crystal structure of La6Pr2YHo.

CIF file:
```
data_La6Pr2YHo
_chemical_formula_sum 'La24 Pr8 Y4 Ho4'
_cell_length_a 9.9002
_cell_length_b 15.4374
_cell_length_c 9.3346
_cell_angle_alpha 90.00
_cell_angle_beta 90.64
_cell_angle_gamma 90.00
_symmetry_space_group_name_H-M 'C 1 2/c 1'
_symmetry_Int_Tables_number 15
_symmetry_space_group_name_Hall '-C 2yc'
loop_
_atom_site_label
_atom_site_fract_x
_atom_site_fract_y
_atom_site_fract_z
La1 0.0740 0.1468 0.0954
La2 0.0744 0.3507 0.9089
La3 0.2470 0.2811 0.3196
Pr1 0.2489 0.4552 0.5618
Y1 0.0000 0.0706 0.7500
Ho1 0.0000 0.4337 0.2500
```

DOS at the Fermi energy	1.264	states/eV/atom
energy relative to the elements	0.11	eV per atom

Record 4
A plane-wave DFT calculation with PBE was carried out for an optimized crystal structure of CsLa2Sn.

CIF file:
```
data_CsLa2Sn
_chemical_formula_sum 'Cs4 La8 Sn4'
_cell_length_a 9.4021
_cell_length_b 9.4021
_cell_length_c 7.4834
_cell_angle_alpha 90.00
_cell_angle_beta 90.00
_cell_angle_gamma 90.00
_symmetry_space_group_name_H-M 'I -4 2 d'
_symmetry_Int_Tables_number 122
_symmetry_space_group_name_Hall 'I -4 2bw'
loop_
_atom_site_label
_atom_site_fract_x
_atom_site_fract_y
_atom_site_fract_z
Cs1 0.0000 0.0000 0.0000
La1 0.2090 0.7500 0.6250
Sn1 0.0000 0.0000 0.5000
```

DOS at the Fermi energy	1.350	states/eV/atom
energy relative to the elements	0.13	eV per atom

Record 5
A plane-wave DFT calculation with PBE was carried out for an optimized crystal structure of Zr2ReCl.

CIF file:
```
data_Zr2ReCl
_chemical_formula_sum 'Zr4 Re2 Cl2'
_cell_length_a 7.8024
_cell_length_b 3.2344
_cell_length_c 8.3263
_cell_angle_alpha 90.00
_cell_angle_beta 117.48
_cell_angle_gamma 90.00
_symmetry_space_group_name_H-M 'C 1 2/m 1'
_symmetry_Int_Tables_number 12
_symmetry_space_group_name_Hall '-C 2y'
loop_
_atom_site_label
_atom_site_fract_x
_atom_site_fract_y
_atom_site_fract_z
Zr1 0.1795 0.0000 0.3082
Re1 0.0000 0.0000 0.5000
Cl1 0.0000 0.5000 0.0000
```

DOS at the Fermi energy	0.644	states/eV/atom
E above lowest polymorph	0.2473	eV per atom
E_form (uncorrected)	-388	meV per atom

Record 6
A plane-wave DFT calculation with PBE was carried out for an optimized crystal structure of Fe2PPb.

CIF file:
```
data_Fe2PPb
_chemical_formula_sum 'Fe8 P4 Pb4'
_cell_length_a 6.7955
_cell_length_b 6.7955
_cell_length_c 5.6956
_cell_angle_alpha 90.00
_cell_angle_beta 90.00
_cell_angle_gamma 90.00
_symmetry_space_group_name_H-M 'I -4 2 d'
_symmetry_Int_Tables_number 122
_symmetry_space_group_name_Hall 'I -4 2bw'
loop_
_atom_site_label
_atom_site_fract_x
_atom_site_fract_y
_atom_site_fract_z
Fe1 0.1607 0.7500 0.1250
P1 0.0000 0.0000 0.0000
Pb1 0.0000 0.0000 0.5000
```

DOS at the Fermi energy	1.376	states/eV/atom
energy relative to the elements	0.35	eV per atom

Record 7
A plane-wave DFT calculation with PBE was carried out for an optimized crystal structure of Ca2PrYHg4.

CIF file:
```
data_Ca2PrYHg4
_chemical_formula_sum 'Ca6 Pr3 Y3 Hg12'
_cell_length_a 5.3461
_cell_length_b 5.3461
_cell_length_c 26.2537
_cell_angle_alpha 90.00
_cell_angle_beta 90.00
_cell_angle_gamma 120.00
_symmetry_space_group_name_H-M 'R -3 m'
_symmetry_Int_Tables_number 166
_symmetry_space_group_name_Hall '-R 3 2"'
loop_
_atom_site_label
_atom_site_fract_x
_atom_site_fract_y
_atom_site_fract_z
Ca1 0.0000 0.0000 0.2491
Pr1 0.0000 0.0000 0.0000
Y1 0.0000 0.0000 0.5000
Hg1 0.0000 0.0000 0.1268
Hg2 0.0000 0.0000 0.3776
```

DOS at the Fermi energy	0.761	states/eV/atom
energy relative to the elements	-0.54	eV per atom

Record 8
A plane-wave DFT calculation with PBE was carried out for an optimized crystal structure of NdPaSnPb.

CIF file:
```
data_NdPaSnPb
_chemical_formula_sum 'Nd4 Pa4 Sn4 Pb4'
_cell_length_a 7.7059
_cell_length_b 7.7059
_cell_length_c 7.7059
_cell_angle_alpha 90.00
_cell_angle_beta 90.00
_cell_angle_gamma 90.00
_symmetry_space_group_name_H-M 'F -4 3 m'
_symmetry_Int_Tables_number 216
_symmetry_space_group_name_Hall 'F -4 2 3'
loop_
_atom_site_label
_atom_site_fract_x
_atom_site_fract_y
_atom_site_fract_z
Nd1 0.0000 0.0000 0.0000
Pa1 0.0000 0.0000 0.5000
Sn1 0.2500 0.2500 0.7500
Pb1 0.2500 0.2500 0.2500
```

DOS at the Fermi energy	1.718	states/eV/atom
energy relative to the elements	-0.17	eV per atom

Record 9
A plane-wave DFT calculation with PBE was carried out for an optimized crystal structure of LaZrBe2.

CIF file:
```
data_LaZrBe2
_chemical_formula_sum 'La2 Zr2 Be4'
_cell_length_a 3.5784
_cell_length_b 4.2052
_cell_length_c 10.5727
_cell_angle_alpha 90.00
_cell_angle_beta 90.00
_cell_angle_gamma 90.00
_symmetry_space_group_name_H-M 'I m m 2'
_symmetry_Int_Tables_number 44
_symmetry_space_group_name_Hall 'I 2 -2'
loop_
_atom_site_label
_atom_site_fract_x
_atom_site_fract_y
_atom_site_fract_z
La1 0.0000 0.0000 0.0000
Zr1 0.0000 0.5000 0.7651
Be1 0.0000 0.0000 0.6222
Be2 0.0000 0.5000 0.2324
```

DOS at the Fermi energy	0.931	states/eV/atom
E above lowest polymorph	0.0866	eV per atom
energy relative to the elements	0.16	eV per atom

Record 10
A plane-wave DFT calculation with PBE was carried out for an optimized crystal structure of Li3In2Ag3.

CIF file:
```
data_Li3In2Ag3
_chemical_formula_sum 'Li6 In4 Ag6'
_cell_length_a 13.6085
_cell_length_b 4.7285
_cell_length_c 4.8768
_cell_angle_alpha 90.00
_cell_angle_beta 110.81
_cell_angle_gamma 90.00
_symmetry_space_group_name_H-M 'C 1 2/m 1'
_symmetry_Int_Tables_number 12
_symmetry_space_group_name_Hall '-C 2y'
loop_
_atom_site_label
_atom_site_fract_x
_atom_site_fract_y
_atom_site_fract_z
Li1 0.0000 0.0000 0.0000
Li2 0.1215 0.0000 0.6230
In1 0.2471 0.5000 0.7458
Ag1 0.0000 0.5000 0.5000
Ag2 0.1172 0.5000 0.1162
```

DOS at the Fermi energy	0.318	states/eV/atom
E above lowest polymorph	0.0585	eV per atom
energy relative to the elements	-0.19	eV per atom

Record 11
A plane-wave DFT calculation with PBE was carried out for an optimized crystal structure of AlCu4Pt.

CIF file:
```
data_AlCu4Pt
_chemical_formula_sum 'Al4 Cu16 Pt4'
_cell_length_a 6.7902
_cell_length_b 6.7902
_cell_length_c 6.7902
_cell_angle_alpha 90.00
_cell_angle_beta 90.00
_cell_angle_gamma 90.00
_symmetry_space_group_name_H-M 'F -4 3 m'
_symmetry_Int_Tables_number 216
_symmetry_space_group_name_Hall 'F -4 2 3'
loop_
_atom_site_label
_atom_site_fract_x
_atom_site_fract_y
_atom_site_fract_z
Al1 0.0000 0.0000 0.0000
Cu1 0.1251 0.1251 0.3749
Pt1 0.2500 0.2500 0.7500
```

DOS at the Fermi energy	0.558	states/eV/atom
energy relative to the elements	-0.14	eV per atom